{"formula": "Na3Dy2InS6", "functional": "PBE", "state": "relaxed", "mass_density_g_cm3": 4.3, "e_tot_ev_per_atom": -4.8902, "raw_formation_energy_mev_per_atom": -1501.5, "m_tot_mub_per_fu": 0.00, "cell": [[6.8188, -0.0013, 0.0012], [-3.4089, 5.9056, 0.0012], [-1.1363, -1.9674, 6.7216]], "species": ["Na", "Na", "Na", "Dy", "Dy", "S", "S", "S", "S", "S", "S", "In"], "frac_coords": [[0.5000, 0.5000, 0.5000], [0.8348, 0.1652, 0.5000], [0.1652, 0.8348, 0.5000], [0.3332, 0.6668, 0.0000], [0.6668, 0.3332, 0.0000], [0.2515, 0.2515, 0.7753], [0.5977, 0.9246, 0.7738], [0.7485, 0.7485, 0.2247], [0.0754, 0.4023, 0.2262], [0.9246, 0.5977, 0.7738], [0.4023, 0.0754, 0.2262], [0.0000, 0.0000, 0.0000]]}